# 1
Na2NpPbCl8: optimized geometry, GGA-PBE.

Summary:
The uncorrected formation energy is -1.5600 eV per atom.

Unit cell a=6.5149 b=8.6317 c=6.6578 alpha=90.00 beta=92.79 gamma=90.00
Space group P2/m (No. 10)
Unique sites:
Na: 0.0000 0.2394 0.0000 [2 per cell]
Np: 0.5000 0.5000 0.5000 [1 per cell]
Pb: 0.5000 0.0000 0.5000 [1 per cell]
Cl: 0.2123 0.0000 0.1761 [2 per cell]
Cl: 0.2305 0.5000 0.1967 [2 per cell]
Cl: 0.2931 0.2779 0.6703 [4 per cell]

***

# 2
CsUHg2I8: optimized geometry, GGA-PBE.

Summary:
The uncorrected formation energy is -0.6699 eV per atom.

Unit cell a=7.7862 b=8.3409 c=10.4185 alpha=69.63 beta=83.05 gamma=87.96
Space group P-1 (No. 2)
Unique sites:
Cs: 0.0000 0.0000 0.0000 [1 per cell]
U: 0.0000 0.5000 0.5000 [1 per cell]
Hg: 0.4655 0.5441 0.8041 [2 per cell]
I: 0.0931 0.5007 0.7822 [2 per cell]
I: 0.1709 0.8420 0.3559 [2 per cell]
I: 0.3371 0.3073 0.4584 [2 per cell]
I: 0.4674 0.7710 0.9716 [2 per cell]

***

# 3
YZnSiSn2: optimized geometry, GGA-PBE.

Summary:
The uncorrected formation energy is 0.2484 eV per atom.

Unit cell a=5.2503 b=5.2503 c=4.6850 alpha=90.00 beta=90.00 gamma=90.00
Space group P4/mmm (No. 123)
Unique sites:
Y: 0.0000 0.0000 0.0000 [1 per cell]
Zn: 0.5000 0.5000 0.5000 [1 per cell]
Si: 0.5000 0.5000 0.0000 [1 per cell]
Sn: 0.0000 0.5000 0.5000 [2 per cell]

***

# 4
SmCdPd3: optimized geometry, GGA-PBE.

Summary:
The value obtained for the formation energy is -0.45 eV per atom.

Unit cell a=6.5750 b=6.5750 c=5.5844 alpha=90.00 beta=90.00 gamma=120.00
Space group P6_3/mmc (No. 194)
Unique sites:
Sm: 0.3333 0.6667 0.2500 [2 per cell]
Cd: 0.0000 0.0000 0.0000 [2 per cell]
Pd: 0.1999 0.3998 0.7500 [6 per cell]

***

# 5
AlCl: optimized geometry, GGA-PBE.

Summary:
The uncorrected formation energy is -0.1658 eV per atom.

Unit cell a=8.2567 b=8.2567 c=8.2567 alpha=90.00 beta=90.00 gamma=90.00
Space group Pm-3n (No. 223)
Unique sites:
Al: 0.0000 0.2500 0.5000 [6 per cell]
Cl: 0.0000 0.5000 0.2500 [6 per cell]

***

# 6
Tm2Pu3UN6: optimized geometry, GGA-PBE.

Summary:
The uncorrected formation energy is -1.4639 eV per atom.

Unit cell a=5.9699 b=10.3394 c=5.9963 alpha=90.00 beta=109.40 gamma=90.00
Space group C2/m (No. 12)
Unique sites:
Tm: 0.0000 0.1663 0.0000 [4 per cell]
Pu: 0.0000 0.0000 0.5000 [2 per cell]
Pu: 0.0000 0.3306 0.5000 [4 per cell]
U: 0.0000 0.5000 0.0000 [2 per cell]
N: 0.2400 0.3387 0.2362 [8 per cell]
N: 0.2429 0.5000 0.7622 [4 per cell]

***

# 7
YAg3Br: optimized geometry, GGA-PBE.

Summary:
The uncorrected formation energy is 0.6084 eV per atom. For the offset from the most stable computed form, the calculation gives 0.000 eV/atom.

Unit cell a=5.1870 b=5.1870 c=5.1870 alpha=90.00 beta=90.00 gamma=90.00
Space group Pm-3m (No. 221)
Unique sites:
Y: 0.0000 0.0000 0.0000 [1 per cell]
Ag: 0.0000 0.5000 0.5000 [3 per cell]
Br: 0.5000 0.5000 0.5000 [1 per cell]

***

# 8
Li2ReOs: optimized geometry, GGA-PBE.

Summary:
The value obtained for the formation energy is 0.23 eV per atom. For the offset from the most stable computed form, the calculation gives 0.114 eV/atom.

Unit cell a=8.6437 b=2.6236 c=5.1191 alpha=90.00 beta=94.46 gamma=90.00
Space group Cm (No. 8)
Unique sites:
Li: 0.0000 0.0000 0.0000 [2 per cell]
Li: 0.2409 0.0000 0.7947 [2 per cell]
Re: 0.2480 0.5000 0.3088 [2 per cell]
Os: 0.4988 0.0000 0.4939 [2 per cell]

***

DOS(E_F) for every record listed, in sequence, given in states/eV/atom: 0.354 0.622 0.559 0.455 0.000 1.283 0.885 0.712.